1.
# MgSc4Cu2 PBE optimized geometry
data_MgSc4Cu2
_chemical_formula_sum 'Mg3 Sc12 Cu6'
_space_group_name_H-M_alt 'R -3 m'
_space_group_IT_number 166
_space_group_name_Hall '-R 3 2"'
_cell_length_a 4.5935
_cell_length_b 4.5935
_cell_length_c 25.6201
_cell_angle_alpha 90.00
_cell_angle_beta 90.00
_cell_angle_gamma 120.00
loop_
_atom_site_label
_atom_site_type_symbol
_atom_site_fract_x
_atom_site_fract_y
_atom_site_fract_z
Mg1 Mg 0.0000 0.0000 0.0000
Sc1 Sc 0.0000 0.0000 0.2023
Sc2 Sc 0.0000 0.0000 0.3941
Cu1 Cu 0.0000 0.0000 0.0990
# - density of states at the Fermi level (states/eV/f.u.) = 7.2
# - crystal system = trigonal
# - formation energy (eV per atom) = 0.101



2.
# PmThIrI PBE optimized geometry
data_PmThIrI
_chemical_formula_sum 'Pm3 Th3 Ir3 I3'
_space_group_name_H-M_alt 'R 3 m'
_space_group_IT_number 160
_space_group_name_Hall 'R 3 -2"'
_cell_length_a 4.2211
_cell_length_b 4.2211
_cell_length_c 24.6646
_cell_angle_alpha 90.00
_cell_angle_beta 90.00
_cell_angle_gamma 120.00
loop_
_atom_site_label
_atom_site_type_symbol
_atom_site_fract_x
_atom_site_fract_y
_atom_site_fract_z
Pm1 Pm 0.0000 0.0000 0.0000
Th1 Th 0.0000 0.0000 0.2143
Ir1 Ir 0.0000 0.0000 0.6034
I1 I 0.0000 0.0000 0.7744
# - density of states at the Fermi level (states/eV/f.u.) = 2.8
# - crystal system = trigonal
# - energy (Ry/atom) = -0.486



3.
# CdCu PBE optimized geometry
data_CdCu
_chemical_formula_sum 'Cd12 Cu12'
_space_group_name_H-M_alt 'P b c m'
_space_group_IT_number 57
_space_group_name_Hall '-P 2c 2b'
_cell_length_a 9.181
_cell_length_b 8.051
_cell_length_c 5.446
_cell_angle_alpha 90.00
_cell_angle_beta 90.00
_cell_angle_gamma 90.00
loop_
_atom_site_label
_atom_site_type_symbol
_atom_site_fract_x
_atom_site_fract_y
_atom_site_fract_z
Cd1 Cd 0.123 0.250 0.000
Cd2 Cd 0.179 0.633 0.250
Cd3 Cd 0.372 0.039 0.250
Cu1 Cu 0.077 0.547 0.750
Cu2 Cu 0.369 0.122 0.750
Cu3 Cu 0.424 0.750 0.000
# - density of states at the Fermi level (states/eV/f.u.) = 0.5
# - crystal system = orthorhombic
# - formation energy (eV per atom) = 0.088



4.
# GeBr2 PBE optimized geometry
data_GeBr2
_chemical_formula_sum 'Ge2 Br4'
_space_group_name_H-M_alt 'C 1 2/m 1'
_space_group_IT_number 12
_space_group_name_Hall '-C 2y'
_cell_length_a 7.036
_cell_length_b 4.063
_cell_length_c 7.024
_cell_angle_alpha 90.00
_cell_angle_beta 90.09
_cell_angle_gamma 90.00
loop_
_atom_site_label
_atom_site_type_symbol
_atom_site_fract_x
_atom_site_fract_y
_atom_site_fract_z
Ge1 Ge 0.000 0.000 0.000
Br1 Br 0.166 0.500 0.771
# - density of states at the Fermi level (states/eV/f.u.) = 0.0
# - crystal system = monoclinic
# - energy (Ry/atom) = -0.236



5.
# Cr2MoHIr PBE optimized geometry
data_Cr2MoHIr
_chemical_formula_sum 'Cr2 Mo1 H1 Ir1'
_space_group_name_H-M_alt 'P 4/m m m'
_space_group_IT_number 123
_space_group_name_Hall '-P 4 2'
_cell_length_a 3.812
_cell_length_b 3.812
_cell_length_c 3.857
_cell_angle_alpha 90.00
_cell_angle_beta 90.00
_cell_angle_gamma 90.00
loop_
_atom_site_label
_atom_site_type_symbol
_atom_site_fract_x
_atom_site_fract_y
_atom_site_fract_z
Cr1 Cr 0.000 0.500 0.000
Mo1 Mo 0.000 0.000 0.500
H1 H 0.000 0.000 0.000
Ir1 Ir 0.500 0.500 0.500
# - energy above the most stable polymorph in this dataset (meV per atom) = 0
# - density of states at the Fermi level (states/eV/f.u.) = 5.0
# - crystal system = tetragonal



6.
# RePW PBE optimized geometry
data_RePW
_chemical_formula_sum 'Re4 P4 W4'
_space_group_name_H-M_alt 'F m m 2'
_space_group_IT_number 42
_space_group_name_Hall 'F 2 -2'
_cell_length_a 3.064
_cell_length_b 4.814
_cell_length_c 12.010
_cell_angle_alpha 90.00
_cell_angle_beta 90.00
_cell_angle_gamma 90.00
loop_
_atom_site_label
_atom_site_type_symbol
_atom_site_fract_x
_atom_site_fract_y
_atom_site_fract_z
Re1 Re 0.000 0.000 0.000
P1 P 0.000 0.000 0.652
W1 W 0.000 0.000 0.312
# - energy above the most stable polymorph in this dataset (meV per atom) = 482
# - density of states at the Fermi level (states/eV/f.u.) = 2.2
# - crystal system = orthorhombic
# - formation energy (eV per atom) = 0.385



7.
# Hf2BiPt2 PBE optimized geometry
data_Hf2BiPt2
_chemical_formula_sum 'Hf4 Bi2 Pt4'
_space_group_name_H-M_alt 'I 4/m m m'
_space_group_IT_number 139
_space_group_name_Hall '-I 4 2'
_cell_length_a 4.575
_cell_length_b 4.575
_cell_length_c 10.870
_cell_angle_alpha 90.00
_cell_angle_beta 90.00
_cell_angle_gamma 90.00
loop_
_atom_site_label
_atom_site_type_symbol
_atom_site_fract_x
_atom_site_fract_y
_atom_site_fract_z
Hf1 Hf 0.000 0.500 0.250
Bi1 Bi 0.000 0.000 0.000
Pt1 Pt 0.000 0.000 0.377
# - energy above the most stable polymorph in this dataset (meV per atom) = 93
# - density of states at the Fermi level (states/eV/f.u.) = 3.6
# - crystal system = tetragonal
# - formation energy (eV per atom) = -0.703



8.
# Nd3SmCd PBE optimized geometry
data_Nd3SmCd
_chemical_formula_sum 'Nd24 Sm8 Cd8'
_space_group_name_H-M_alt 'C 1 2/c 1'
_space_group_IT_number 15
_space_group_name_Hall '-C 2yc'
_cell_length_a 15.112
_cell_length_b 13.536
_cell_length_c 6.481
_cell_angle_alpha 90.00
_cell_angle_beta 103.84
_cell_angle_gamma 90.00
loop_
_atom_site_label
_atom_site_type_symbol
_atom_site_fract_x
_atom_site_fract_y
_atom_site_fract_z
Nd1 Nd 0.101 0.063 0.488
Nd2 Nd 0.184 0.311 0.620
Nd3 Nd 0.199 0.434 0.128
Sm1 Sm 0.096 0.201 0.002
Cd1 Cd 0.000 0.373 0.250
Cd2 Cd 0.000 0.409 0.750
# - energy above the most stable polymorph in this dataset (meV per atom) = 73
# - density of states at the Fermi level (states/eV/f.u.) = 6.5
# - crystal system = monoclinic
# - formation energy (eV per atom) = -0.036



9.
# AlZn6Ag8 PBE optimized geometry
data_AlZn6Ag8
_chemical_formula_sum 'Al1 Zn6 Ag8'
_space_group_name_H-M_alt 'P -3'
_space_group_IT_number 147
_space_group_name_Hall '-P 3'
_cell_length_a 7.6210
_cell_length_b 7.6210
_cell_length_c 5.3425
_cell_angle_alpha 90.00
_cell_angle_beta 90.00
_cell_angle_gamma 120.00
loop_
_atom_site_label
_atom_site_type_symbol
_atom_site_fract_x
_atom_site_fract_y
_atom_site_fract_z
Al1 Al 0.0000 0.0000 0.0000
Zn1 Zn 0.0243 0.6676 0.1074
Ag1 Ag 0.0477 0.3600 0.3850
Ag2 Ag 0.3333 0.6667 0.7738
# - energy above the most stable polymorph in this dataset (meV per atom) = 0
# - density of states at the Fermi level (states/eV/f.u.) = 5.1
# - crystal system = trigonal
# - formation energy (eV per atom) = 0.059



10.
# Co2TcTe PBE optimized geometry
data_Co2TcTe
_chemical_formula_sum 'Co4 Tc2 Te2'
_space_group_name_H-M_alt 'C m m m'
_space_group_IT_number 65
_space_group_name_Hall '-C 2 2'
_cell_length_a 5.237
_cell_length_b 7.335
_cell_length_c 2.968
_cell_angle_alpha 90.00
_cell_angle_beta 90.00
_cell_angle_gamma 90.00
loop_
_atom_site_label
_atom_site_type_symbol
_atom_site_fract_x
_atom_site_fract_y
_atom_site_fract_z
Co1 Co 0.250 0.250 0.000
Tc1 Tc 0.000 0.000 0.500
Te1 Te 0.000 0.500 0.500
# - density of states at the Fermi level (states/eV/f.u.) = 5.6
# - crystal system = orthorhombic
# - energy (Ry/atom) = -0.477



11.
# Y2TaHg PBE optimized geometry
data_Y2TaHg
_chemical_formula_sum 'Y4 Ta2 Hg2'
_space_group_name_H-M_alt 'C 1 2/m 1'
_space_group_IT_number 12
_space_group_name_Hall '-C 2y'
_cell_length_a 10.504
_cell_length_b 3.289
_cell_length_c 5.857
_cell_angle_alpha 90.00
_cell_angle_beta 102.95
_cell_angle_gamma 90.00
loop_
_atom_site_label
_atom_site_type_symbol
_atom_site_fract_x
_atom_site_fract_y
_atom_site_fract_z
Y1 Y 0.250 0.000 0.246
Ta1 Ta 0.000 0.500 0.000
Hg1 Hg 0.000 0.000 0.500
# - density of states at the Fermi level (states/eV/f.u.) = 5.0
# - crystal system = monoclinic
# - formation energy (eV per atom) = 0.305



12.
# PmNd4Y6 PBE optimized geometry
data_PmNd4Y6
_chemical_formula_sum 'Pm1 Nd4 Y6'
_space_group_name_H-M_alt 'P -6 m 2'
_space_group_IT_number 187
_space_group_name_Hall 'P -6 2'
_cell_length_a 11.0819
_cell_length_b 11.0819
_cell_length_c 3.6108
_cell_angle_alpha 90.00
_cell_angle_beta 90.00
_cell_angle_gamma 120.00
loop_
_atom_site_label
_atom_site_type_symbol
_atom_site_fract_x
_atom_site_fract_y
_atom_site_fract_z
Pm1 Pm 0.0000 0.0000 0.0000
Nd1 Nd 0.3278 0.1639 0.5000
Nd2 Nd 0.3333 0.6667 0.0000
Y1 Y 0.1822 0.3643 0.5000
Y2 Y 0.5143 0.0286 0.0000
# - energy above the most stable polymorph in this dataset (meV per atom) = 58
# - density of states at the Fermi level (states/eV/f.u.) = 18.0
# - crystal system = hexagonal
# - formation energy (eV per atom) = 0.165



13.
# NpHBr2 PBE optimized geometry
data_NpHBr2
_chemical_formula_sum 'Np2 H2 Br4'
_space_group_name_H-M_alt 'C 1 m 1'
_space_group_IT_number 8
_space_group_name_Hall 'C -2y'
_cell_length_a 6.714
_cell_length_b 3.876
_cell_length_c 7.770
_cell_angle_alpha 90.00
_cell_angle_beta 106.03
_cell_angle_gamma 90.00
loop_
_atom_site_label
_atom_site_type_symbol
_atom_site_fract_x
_atom_site_fract_y
_atom_site_fract_z
Np1 Np 0.000 0.000 0.000
H1 H 0.167 0.500 0.000
Br1 Br 0.249 0.000 0.737
Br2 Br 0.418 0.000 0.264
# - density of states at the Fermi level (states/eV/f.u.) = 9.4
# - crystal system = monoclinic
# - energy (Ry/atom) = -0.436



14.
# Sc4ZnIr PBE optimized geometry
data_Sc4ZnIr
_chemical_formula_sum 'Sc16 Zn4 Ir4'
_space_group_name_H-M_alt 'F -4 3 m'
_space_group_IT_number 216
_space_group_name_Hall 'F -4 2 3'
_cell_length_a 7.764
_cell_length_b 7.764
_cell_length_c 7.764
_cell_angle_alpha 90.00
_cell_angle_beta 90.00
_cell_angle_gamma 90.00
loop_
_atom_site_label
_atom_site_type_symbol
_atom_site_fract_x
_atom_site_fract_y
_atom_site_fract_z
Sc1 Sc 0.123 0.123 0.377
Zn1 Zn 0.000 0.000 0.000
Ir1 Ir 0.250 0.250 0.750
# - energy above the most stable polymorph in this dataset (meV per atom) = 738
# - density of states at the Fermi level (states/eV/f.u.) = 7.4
# - crystal system = cubic
# - formation energy (eV per atom) = 0.292



15.
# KHgS2Cl PBE optimized geometry
data_KHgS2Cl
_chemical_formula_sum 'K1 Hg1 S2 Cl1'
_space_group_name_H-M_alt 'P 4/m m m'
_space_group_IT_number 123
_space_group_name_Hall '-P 4 2'
_cell_length_a 5.012
_cell_length_b 5.012
_cell_length_c 5.888
_cell_angle_alpha 90.00
_cell_angle_beta 90.00
_cell_angle_gamma 90.00
loop_
_atom_site_label
_atom_site_type_symbol
_atom_site_fract_x
_atom_site_fract_y
_atom_site_fract_z
K1 K 0.000 0.000 0.000
Hg1 Hg 0.500 0.500 0.500
S1 S 0.000 0.500 0.500
Cl1 Cl 0.500 0.500 0.000
# - energy above the most stable polymorph in this dataset (meV per atom) = 0
# - density of states at the Fermi level (states/eV/f.u.) = 7.2
# - crystal system = tetragonal



16.
# KMo4As PBE optimized geometry
data_KMo4As
_chemical_formula_sum 'K4 Mo16 As4'
_space_group_name_H-M_alt 'F -4 3 m'
_space_group_IT_number 216
_space_group_name_Hall 'F -4 2 3'
_cell_length_a 7.661
_cell_length_b 7.661
_cell_length_c 7.661
_cell_angle_alpha 90.00
_cell_angle_beta 90.00
_cell_angle_gamma 90.00
loop_
_atom_site_label
_atom_site_type_symbol
_atom_site_fract_x
_atom_site_fract_y
_atom_site_fract_z
K1 K 0.000 0.000 0.000
Mo1 Mo 0.124 0.124 0.624
As1 As 0.250 0.250 0.250
# - density of states at the Fermi level (states/eV/f.u.) = 7.2
# - crystal system = cubic
# - formation energy (eV per atom) = 1.060



17.
# K6TlCd2 PBE optimized geometry
data_K6TlCd2
_chemical_formula_sum 'K12 Tl2 Cd4'
_space_group_name_H-M_alt 'C 1 2/m 1'
_space_group_IT_number 12
_space_group_name_Hall '-C 2y'
_cell_length_a 12.289
_cell_length_b 5.970
_cell_length_c 12.266
_cell_angle_alpha 90.00
_cell_angle_beta 107.54
_cell_angle_gamma 90.00
loop_
_atom_site_label
_atom_site_type_symbol
_atom_site_fract_x
_atom_site_fract_y
_atom_site_fract_z
K1 K 0.038 0.000 0.237
K2 K 0.176 0.500 0.062
K3 K 0.203 0.000 0.585
Tl1 Tl 0.000 0.500 0.500
Cd1 Cd 0.144 0.500 0.747
# - density of states at the Fermi level (states/eV/f.u.) = 7.0
# - crystal system = monoclinic
# - formation energy (eV per atom) = -0.028



18.
# Ba2AsPt PBE optimized geometry
data_Ba2AsPt
_chemical_formula_sum 'Ba4 As2 Pt2'
_space_group_name_H-M_alt 'A m m 2'
_space_group_IT_number 38
_space_group_name_Hall 'A 2 -2'
_cell_length_a 4.661
_cell_length_b 4.838
_cell_length_c 11.360
_cell_angle_alpha 90.00
_cell_angle_beta 90.00
_cell_angle_gamma 90.00
loop_
_atom_site_label
_atom_site_type_symbol
_atom_site_fract_x
_atom_site_fract_y
_atom_site_fract_z
Ba1 Ba 0.000 0.000 0.000
Ba2 Ba 0.500 0.000 0.286
As1 As 0.500 0.000 0.592
Pt1 Pt 0.000 0.000 0.692
# - density of states at the Fermi level (states/eV/f.u.) = 3.5
# - crystal system = orthorhombic
# - formation energy (eV per atom) = -0.857



19.
# CaCuH3 PBE optimized geometry
data_CaCuH3
_chemical_formula_sum 'Ca1 Cu1 H3'
_space_group_name_H-M_alt 'P m -3 m'
_space_group_IT_number 221
_space_group_name_Hall '-P 4 2 3'
_cell_length_a 4.095
_cell_length_b 4.095
_cell_length_c 4.095
_cell_angle_alpha 90.00
_cell_angle_beta 90.00
_cell_angle_gamma 90.00
loop_
_atom_site_label
_atom_site_type_symbol
_atom_site_fract_x
_atom_site_fract_y
_atom_site_fract_z
Ca1 Ca 0.000 0.000 0.000
Cu1 Cu 0.500 0.500 0.500
H1 H 0.000 0.000 0.500
# - density of states at the Fermi level (states/eV/f.u.) = 0.1
# - crystal system = cubic
# - energy (Ry/atom) = -0.204



20.
# NdZn2Ag9 PBE optimized geometry
data_NdZn2Ag9
_chemical_formula_sum 'Nd4 Zn8 Ag36'
_space_group_name_H-M_alt 'I 41/a m d'
_space_group_IT_number 141
_cell_length_a 11.271
_cell_length_b 11.271
_cell_length_c 7.233
_cell_angle_alpha 90.00
_cell_angle_beta 90.00
_cell_angle_gamma 90.00
loop_
_space_group_symop_operation_xyz
'x,y,z'
'-x,-y,-z'
'-y+1/4,x+3/4,z+1/4'
'y+1/4,-x+3/4,-z+1/4'
'-x+1/2,-y,z+1/2'
'x+1/2,y,-z+1/2'
'y+1/4,-x+1/4,z+3/4'
'-y+1/4,x+1/4,-z+3/4'
'x,-y,-z'
'-x,y,z'
'-y+1/4,-x+1/4,-z+3/4'
'y+1/4,x+1/4,z+3/4'
'-x+1/2,y,-z+1/2'
'x+1/2,-y,z+1/2'
'y+1/4,x+3/4,-z+1/4'
'-y+1/4,-x+3/4,z+1/4'
'x+1/2,y+1/2,z+1/2'
'-x+1/2,-y+1/2,-z+1/2'
'-y+3/4,x+1/4,z+3/4'
'y+3/4,-x+1/4,-z+3/4'
'-x,-y+1/2,z'
'x,y+1/2,-z'
'y+3/4,-x+3/4,z+1/4'
'-y+3/4,x+3/4,-z+1/4'
'x+1/2,-y+1/2,-z+1/2'
'-x+1/2,y+1/2,z+1/2'
'-y+3/4,-x+3/4,-z+1/4'
'y+3/4,x+3/4,z+1/4'
'-x,y+1/2,-z'
'x,-y+1/2,z'
'y+3/4,x+1/4,-z+3/4'
'-y+3/4,-x+1/4,z+3/4'
loop_
_atom_site_label
_atom_site_type_symbol
_atom_site_fract_x
_atom_site_fract_y
_atom_site_fract_z
Nd1 Nd 0.000 0.250 0.375
Zn1 Zn 0.000 0.000 0.000
Ag1 Ag 0.000 0.250 0.875
Ag2 Ag 0.122 0.049 0.680
# - density of states at the Fermi level (states/eV/f.u.) = 4.4
# - crystal system = tetragonal
# - formation energy (eV per atom) = -0.075